1.
First-principles (PBE) data for a relaxed Rb2Cd4Au3 crystal, as listed in the Alexandria database.

Calculated values
* formation energy: -3.93 kcal/mol of atoms
* space-group type: No. 64
* D(E_F): 4.81 states/eV per cell

```
data_Rb2Cd4Au3
_cell_length_a 9.6481
_cell_length_b 9.6481
_cell_length_c 9.2018
_cell_angle_alpha 90.00
_cell_angle_beta 90.00
_cell_angle_gamma 144.09
_symmetry_space_group_name_H-M 'P 1'
_symmetry_Int_Tables_number 1
_symmetry_space_group_name_Hall 'P 1'
loop_
_atom_site_label
_atom_site_fract_x
_atom_site_fract_y
_atom_site_fract_z
_atom_site_occupancy
Rb1 0.0995 0.9005 0.8824 1
Rb2 0.4005 0.5995 0.3824 1
Rb3 0.5995 0.4005 0.6176 1
Rb4 0.9005 0.0995 0.1176 1
Cd1 0.1765 0.3235 0.7500 1
Cd2 0.2119 0.7881 0.5098 1
Cd3 0.2881 0.7119 0.0098 1
Cd4 0.3235 0.1765 0.2500 1
Cd5 0.6765 0.8235 0.7500 1
Cd6 0.7119 0.2881 0.9902 1
Cd7 0.7881 0.2119 0.4902 1
Cd8 0.8235 0.6765 0.2500 1
Au1 0.0000 0.0000 0.5000 1
Au2 0.0186 0.4814 0.7500 1
Au3 0.4814 0.0186 0.2500 1
Au4 0.5000 0.5000 0.0000 1
Au5 0.5186 0.9814 0.7500 1
Au6 0.9814 0.5186 0.2500 1
```

2.
First-principles (PBE) data for a relaxed Rb2Cd9Au3 crystal, as listed in the Alexandria database.

Calculated values
* formation energy: -3.17 kcal/mol of atoms
* space-group type: No. 15
* D(E_F): 8.63 states/eV per cell

```
data_Rb2Cd9Au3
_cell_length_a 8.6618
_cell_length_b 8.6618
_cell_length_c 12.1656
_cell_angle_alpha 111.52
_cell_angle_beta 111.52
_cell_angle_gamma 59.54
_symmetry_space_group_name_H-M 'P 1'
_symmetry_Int_Tables_number 1
_symmetry_space_group_name_Hall 'P 1'
loop_
_atom_site_label
_atom_site_fract_x
_atom_site_fract_y
_atom_site_fract_z
_atom_site_occupancy
Rb1 0.0850 0.2514 0.2480 1
Rb2 0.2514 0.0850 0.7480 1
Rb3 0.7486 0.9150 0.2520 1
Rb4 0.9150 0.7486 0.7520 1
Cd1 0.0279 0.8481 0.0652 1
Cd2 0.1519 0.9721 0.4348 1
Cd3 0.1940 0.3549 0.5605 1
Cd4 0.2183 0.5818 0.2539 1
Cd5 0.3208 0.4847 0.9529 1
Cd6 0.3549 0.1940 0.0605 1
Cd7 0.3772 0.6228 0.7500 1
Cd8 0.4182 0.7817 0.2461 1
Cd9 0.4847 0.3208 0.4529 1
Cd10 0.5153 0.6792 0.5471 1
Cd11 0.5818 0.2183 0.7539 1
Cd12 0.6228 0.3772 0.2500 1
Cd13 0.6451 0.8060 0.9395 1
Cd14 0.6792 0.5153 0.0471 1
Cd15 0.7817 0.4182 0.7461 1
Cd16 0.8060 0.6451 0.4395 1
Cd17 0.8481 0.0279 0.5652 1
Cd18 0.9721 0.1519 0.9348 1
Au1 0.0000 0.5000 0.0000 1
Au2 0.1516 0.6753 0.4997 1
Au3 0.3247 0.8484 0.0003 1
Au4 0.5000 0.0000 0.5000 1
Au5 0.6753 0.1516 0.9997 1
Au6 0.8484 0.3247 0.5003 1
```

3.
First-principles (PBE) data for a relaxed RbCd3Au crystal, as listed in the Alexandria database.

Calculated values
* formation energy: -1.66 kcal/mol of atoms
* space-group type: No. 194
* D(E_F): 4.19 states/eV per cell

```
data_RbCd3Au
_cell_length_a 7.2860
_cell_length_b 7.2860
_cell_length_c 6.3175
_cell_angle_alpha 90.00
_cell_angle_beta 90.00
_cell_angle_gamma 120.00
_symmetry_space_group_name_H-M 'P 1'
_symmetry_Int_Tables_number 1
_symmetry_space_group_name_Hall 'P 1'
loop_
_atom_site_label
_atom_site_fract_x
_atom_site_fract_y
_atom_site_fract_z
_atom_site_occupancy
Rb1 0.3333 0.6667 0.2500 1
Rb2 0.6667 0.3333 0.7500 1
Cd1 0.1905 0.3809 0.7500 1
Cd2 0.1905 0.8095 0.7500 1
Cd3 0.3809 0.1905 0.2500 1
Cd4 0.6191 0.8095 0.7500 1
Cd5 0.8095 0.1905 0.2500 1
Cd6 0.8095 0.6191 0.2500 1
Au1 0.0000 0.0000 0.0000 1
Au2 0.0000 0.0000 0.5000 1
```

4.
First-principles (PBE) data for a relaxed Rb2Cd2Au3 crystal, as listed in the Alexandria database.

Calculated values
* formation energy: -5.07 kcal/mol of atoms
* space-group type: No. 12
* D(E_F): 2.93 states/eV per cell

```
data_Rb2Cd2Au3
_cell_length_a 7.0619
_cell_length_b 7.0619
_cell_length_c 8.2388
_cell_angle_alpha 115.64
_cell_angle_beta 115.64
_cell_angle_gamma 40.76
_symmetry_space_group_name_H-M 'P 1'
_symmetry_Int_Tables_number 1
_symmetry_space_group_name_Hall 'P 1'
loop_
_atom_site_label
_atom_site_fract_x
_atom_site_fract_y
_atom_site_fract_z
_atom_site_occupancy
Rb1 0.2034 0.2034 0.2139 1
Rb2 0.7966 0.7966 0.7861 1
Cd1 0.0488 0.0488 0.7063 1
Cd2 0.9512 0.9512 0.2937 1
Au1 0.4864 0.4864 0.1524 1
Au2 0.5000 0.5000 0.5000 1
Au3 0.5136 0.5136 0.8476 1
```

5.
First-principles (PBE) data for a relaxed Rb6CdAu4 crystal, as listed in the Alexandria database.

Calculated values
* formation energy: -4.97 kcal/mol of atoms
* space-group type: No. 186
* D(E_F): 17.98 states/eV per cell

```
data_Rb6CdAu4
_cell_length_a 11.3033
_cell_length_b 11.3033
_cell_length_c 8.4515
_cell_angle_alpha 90.00
_cell_angle_beta 90.00
_cell_angle_gamma 120.00
_symmetry_space_group_name_H-M 'P 1'
_symmetry_Int_Tables_number 1
_symmetry_space_group_name_Hall 'P 1'
loop_
_atom_site_label
_atom_site_fract_x
_atom_site_fract_y
_atom_site_fract_z
_atom_site_occupancy
Rb1 0.0574 0.5287 0.0000 1
Rb2 0.1383 0.2766 0.3316 1
Rb3 0.1383 0.8617 0.3316 1
Rb4 0.2766 0.1383 0.8316 1
Rb5 0.4713 0.5287 0.0000 1
Rb6 0.4713 0.9426 0.0000 1
Rb7 0.5287 0.0574 0.5000 1
Rb8 0.5287 0.4713 0.5000 1
Rb9 0.7234 0.8617 0.3316 1
Rb10 0.8617 0.1383 0.8316 1
Rb11 0.8617 0.7234 0.8316 1
Rb12 0.9426 0.4713 0.5000 1
Cd1 0.3333 0.6667 0.6193 1
Cd2 0.6667 0.3333 0.1193 1
Au1 0.1936 0.3871 0.7247 1
Au2 0.1936 0.8064 0.7247 1
Au3 0.3333 0.6667 0.2818 1
Au4 0.3871 0.1936 0.2247 1
Au5 0.6129 0.8064 0.7247 1
Au6 0.6667 0.3333 0.7818 1
Au7 0.8064 0.1936 0.2247 1
Au8 0.8064 0.6129 0.2247 1
```

6.
First-principles (PBE) data for a relaxed RbCd2RhAu crystal, as listed in the Alexandria database.

Calculated values
* formation energy: -0.29 kcal/mol of atoms
* space-group type: No. 123
* D(E_F): 1.43 states/eV per cell

```
data_RbCd2RhAu
_cell_length_a 5.2294
_cell_length_b 5.2294
_cell_length_c 5.3331
_cell_angle_alpha 90.00
_cell_angle_beta 90.00
_cell_angle_gamma 90.00
_symmetry_space_group_name_H-M 'P 1'
_symmetry_Int_Tables_number 1
_symmetry_space_group_name_Hall 'P 1'
loop_
_atom_site_label
_atom_site_fract_x
_atom_site_fract_y
_atom_site_fract_z
_atom_site_occupancy
Rb1 0.0000 0.0000 0.0000 1
Cd1 0.0000 0.5000 0.5000 1
Cd2 0.5000 0.0000 0.5000 1
Rh1 0.5000 0.5000 0.5000 1
Au1 0.5000 0.5000 0.0000 1
```